A relaxed structure of CePm3Pd3. Source: the Alexandria database, functional GGA-PBE.

Cell: 7.157 7.157 7.128 Å, 90.07 90.07 93.26°
Atoms (fractional coordinates):
Ce  0.248  0.248  0.115
Ce  0.752  0.752  0.885
Pm  0.178  0.822  0.500
Pm  0.263  0.737  0.000
Pm  0.338  0.338  0.615
Pm  0.662  0.662  0.385
Pm  0.737  0.263  0.000
Pm  0.822  0.178  0.500
Pd  0.021  0.501  0.283
Pd  0.063  0.063  0.809
Pd  0.499  0.979  0.717
Pd  0.501  0.021  0.283
Pd  0.937  0.937  0.191
Pd  0.979  0.499  0.717

Values from the calculation:
Size of the total moment = 1.77 μB per cell
DFT formation energy = -0.568 eV per atom
Energy = -5.68 eV/atom

A relaxed structure of CePmPd. Source: the Alexandria database, functional GGA-PBE.

Cell: 4.984 4.984 4.984 Å, 60.00 60.00 60.00°
Atoms (fractional coordinates):
Ce  0.000  0.000  0.000
Pm  0.500  0.500  0.500
Pd  0.750  0.750  0.750

Values from the calculation:
Polymorph energy (0 for the lowest one) = 200 meV/atom
Size of the total moment = 1.74 μB per cell
DFT formation energy = -0.263 eV per atom
Energy = -5.56 eV/atom

A relaxed structure of Ce2PmPd. Source: the Alexandria database, functional GGA-PBE.

Cell: 3.699 3.699 8.014 Å, 90.00 90.00 90.00°
Atoms (fractional coordinates):
Ce  0.000  0.000  0.197
Ce  0.000  0.000  0.803
Pm  0.500  0.500  0.500
Pd  0.500  0.500  0.000

Values from the calculation:
Polymorph energy (0 for the lowest one) = 0 meV/atom
Size of the total moment = 1.43 μB per cell
DFT formation energy = -0.238 eV per atom
Energy = -5.69 eV/atom

A relaxed structure of Ce3PmPd12. Source: the Alexandria database, functional GGA-PBE.

Cell: 4.164 4.164 16.643 Å, 90.00 90.00 90.00°
Atoms (fractional coordinates):
Ce  0.000  0.000  0.000
Ce  0.000  0.000  0.251
Ce  0.000  0.000  0.749
Pm  0.000  0.000  0.500
Pd  0.000  0.500  0.125
Pd  0.000  0.500  0.372
Pd  0.000  0.500  0.628
Pd  0.000  0.500  0.875
Pd  0.500  0.000  0.125
Pd  0.500  0.000  0.372
Pd  0.500  0.000  0.628
Pd  0.500  0.000  0.875
Pd  0.500  0.500  0.000
Pd  0.500  0.500  0.249
Pd  0.500  0.500  0.500
Pd  0.500  0.500  0.751

Values from the calculation:
Size of the total moment = 0.97 μB per cell
DFT formation energy = -0.827 eV per atom
Energy = -6.13 eV/atom